# 1
A relaxed Y2RuSe crystal. Source: Alexandria via LeMat-Bulk, functional PBE-GGA.

Cell: 7.0456 7.0619 3.4619 Å, 90.00 90.00 90.00°
With the nearest neighbours (Å) after each atom.
Space group Cmmm (No. 65)
Inequivalent atoms, fractional coordinates:
Y  0.2500  0.2500  0.0000 (multiplicity 4)  4 Ru 3.04, 4 Se 3.04
Ru  0.0000  0.0000  0.5000 (multiplicity 2)  8 Y 3.04
Se  0.0000  0.5000  0.5000 (multiplicity 2)  8 Y 3.04

Computed properties:
The calculation puts the formation energy from raw total energies at -0.78 eV per atom. The total energy comes out at -57.6 eV per cell. The calculation puts the density of states at the Fermi level at 3.5 states/eV/cell.



# 2
A relaxed In2AsO crystal. Source: Alexandria via LeMat-Bulk, functional PBE-GGA.

Cell: 6.6513 6.6513 6.6513 Å, 90.00 90.00 90.00°
With the nearest neighbours (Å) after each atom.
Space group Fm-3m (No. 225)
Inequivalent atoms, fractional coordinates:
In  0.2500  0.2500  0.2500 (multiplicity 8)  4 As 2.88, 4 O 2.88
As  0.0000  0.0000  0.0000 (multiplicity 4)  8 In 2.88
O  0.0000  0.0000  0.5000 (multiplicity 4)  8 In 2.88

Computed properties:
The calculation puts the formation energy from raw total energies at -0.03 eV per atom. The total energy comes out at -60.8 eV per cell. The distance to the lowest polymorph of the same formula is 513 meV/atom. The calculation puts the density of states at the Fermi level at 6.4 states/eV/cell.



# 3
A relaxed Cr2SiHg crystal. Source: Alexandria via LeMat-Bulk, functional PBE-GGA.

Cell: 2.8861 2.8861 25.6180 Å, 90.00 90.00 120.00°
With the nearest neighbours (Å) after each atom.
Space group R3m (No. 160, hexagonal axes)
Inequivalent atoms, fractional coordinates:
Cr  0.0000  0.0000  0.0000 (multiplicity 3)  3 Cr 2.32
Cr  0.0000  0.0000  0.2706 (multiplicity 3)  3 Cr 2.32, 3 Si 2.54
Si  0.0000  0.0000  0.5289 (multiplicity 3)  3 Cr 2.54
Hg  0.0000  0.0000  0.7611 (multiplicity 3)  6 Hg 2.89, 3 Cr 2.94, 3 Si 3.08

Computed properties:
The calculation puts the formation energy from raw total energies at 0.42 eV per atom. The total energy comes out at -69.8 eV per cell. The calculation puts the density of states at the Fermi level at 9.4 states/eV/cell.